[1]
A plane-wave DFT calculation with PBE was carried out for a relaxed ZrTlIr2 crystal.

CIF file:
```
data_ZrTlIr2
_chemical_formula_sum 'Zr1 Tl1 Ir2'
_symmetry_space_group_name_H-M 'P 1'
_symmetry_Int_Tables_number 1
_symmetry_space_group_name_Hall 'P 1'
_cell_length_a 8.877
_cell_length_b 8.877
_cell_length_c 8.877
_cell_angle_alpha 20.89
_cell_angle_beta 20.89
_cell_angle_gamma 20.89
loop_
_atom_site_label
_atom_site_type_symbol
_atom_site_fract_x
_atom_site_fract_y
_atom_site_fract_z
Zr1 Zr 0.000 0.000 0.000
Tl1 Tl 0.500 0.500 0.500
Ir1 Ir 0.257 0.257 0.257
Ir2 Ir 0.743 0.743 0.743
```

Summary:
symmetry: R-3m
calculated formation energy: 15 meV per atom

***

[2]
A plane-wave DFT calculation with PBE was carried out for a relaxed Hf4Tc2Ge crystal.

CIF file:
```
data_Hf4Tc2Ge
_chemical_formula_sum 'Hf4 Tc2 Ge1'
_symmetry_space_group_name_H-M 'P 1'
_symmetry_Int_Tables_number 1
_symmetry_space_group_name_Hall 'P 1'
_cell_length_a 7.391
_cell_length_b 7.391
_cell_length_c 7.391
_cell_angle_alpha 141.26
_cell_angle_beta 141.26
_cell_angle_gamma 55.94
loop_
_atom_site_label
_atom_site_type_symbol
_atom_site_fract_x
_atom_site_fract_y
_atom_site_fract_z
Hf1 Hf 0.000 0.500 0.500
Hf2 Hf 0.200 0.200 0.000
Hf3 Hf 0.500 0.000 0.500
Hf4 Hf 0.800 0.800 0.000
Tc1 Tc 0.392 0.392 0.000
Tc2 Tc 0.608 0.608 0.000
Ge1 Ge 0.000 0.000 0.000
```

Summary:
symmetry: I4/mmm
calculated formation energy: 553 meV per atom

***

[3]
A plane-wave DFT calculation with PBE was carried out for a relaxed WBr3 crystal.

CIF file:
```
data_WBr3
_chemical_formula_sum 'W1 Br3'
_symmetry_space_group_name_H-M 'P 1'
_symmetry_Int_Tables_number 1
_symmetry_space_group_name_Hall 'P 1'
_cell_length_a 3.160
_cell_length_b 3.160
_cell_length_c 9.213
_cell_angle_alpha 90.00
_cell_angle_beta 90.00
_cell_angle_gamma 90.00
loop_
_atom_site_label
_atom_site_type_symbol
_atom_site_fract_x
_atom_site_fract_y
_atom_site_fract_z
W1 W 0.000 0.000 0.000
Br1 Br 0.000 0.000 0.500
Br2 Br 0.500 0.500 0.173
Br3 Br 0.500 0.500 0.827
```

Summary:
symmetry: P4/mmm
formation energy from raw total energies: 475 meV per atom

***

[4]
A plane-wave DFT calculation with PBE was carried out for a relaxed Pr2PdBr crystal.

CIF file:
```
data_Pr2PdBr
_chemical_formula_sum 'Pr2 Pd1 Br1'
_symmetry_space_group_name_H-M 'P 1'
_symmetry_Int_Tables_number 1
_symmetry_space_group_name_Hall 'P 1'
_cell_length_a 3.540
_cell_length_b 3.540
_cell_length_c 8.397
_cell_angle_alpha 90.00
_cell_angle_beta 90.00
_cell_angle_gamma 90.00
loop_
_atom_site_label
_atom_site_type_symbol
_atom_site_fract_x
_atom_site_fract_y
_atom_site_fract_z
Pr1 Pr 0.000 0.000 0.222
Pr2 Pr 0.000 0.000 0.778
Pd1 Pd 0.500 0.500 0.000
Br1 Br 0.500 0.500 0.500
```

Summary:
symmetry: P4/mmm
formation energy from raw total energies: -863 meV per atom

***

[5]
A plane-wave DFT calculation with PBE was carried out for a relaxed Ba3Ta4O12 crystal.

CIF file:
```
data_Ba3Ta4O12
_chemical_formula_sum 'Ba3 Ta4 O12'
_symmetry_space_group_name_H-M 'P 1'
_symmetry_Int_Tables_number 1
_symmetry_space_group_name_Hall 'P 1'
_cell_length_a 7.071
_cell_length_b 7.071
_cell_length_c 7.071
_cell_angle_alpha 109.47
_cell_angle_beta 109.47
_cell_angle_gamma 109.47
loop_
_atom_site_label
_atom_site_type_symbol
_atom_site_fract_x
_atom_site_fract_y
_atom_site_fract_z
Ba1 Ba 0.000 0.500 0.500
Ba2 Ba 0.500 0.000 0.500
Ba3 Ba 0.500 0.500 0.000
Ta1 Ta 0.000 0.000 0.500
Ta2 Ta 0.000 0.500 0.000
Ta3 Ta 0.500 0.000 0.000
Ta4 Ta 0.500 0.500 0.500
O1 O 0.000 0.254 0.746
O2 O 0.000 0.746 0.254
O3 O 0.254 0.000 0.746
O4 O 0.254 0.254 0.507
O5 O 0.254 0.507 0.254
O6 O 0.254 0.746 0.000
O7 O 0.493 0.746 0.746
O8 O 0.507 0.254 0.254
O9 O 0.746 0.000 0.254
O10 O 0.746 0.254 0.000
O11 O 0.746 0.493 0.746
O12 O 0.746 0.746 0.493
```

Summary:
symmetry: Im-3m
formation energy from raw total energies: -2923 meV per atom

***

[6]
A plane-wave DFT calculation with PBE was carried out for a relaxed Ac2Te2S crystal.

CIF file:
```
data_Ac2Te2S
_chemical_formula_sum 'Ac2 Te2 S1'
_symmetry_space_group_name_H-M 'P 1'
_symmetry_Int_Tables_number 1
_symmetry_space_group_name_Hall 'P 1'
_cell_length_a 8.107
_cell_length_b 8.107
_cell_length_c 8.107
_cell_angle_alpha 147.91
_cell_angle_beta 132.11
_cell_angle_gamma 58.82
loop_
_atom_site_label
_atom_site_type_symbol
_atom_site_fract_x
_atom_site_fract_y
_atom_site_fract_z
Ac1 Ac 0.148 0.148 0.000
Ac2 Ac 0.852 0.852 0.000
Te1 Te 0.321 0.821 0.500
Te2 Te 0.679 0.179 0.500
S1 S 0.000 0.500 0.500
```

Summary:
symmetry: Immm
formation energy from raw total energies: -1674 meV per atom

***

[7]
A plane-wave DFT calculation with PBE was carried out for a relaxed YZrCo2 crystal.

CIF file:
```
data_YZrCo2
_chemical_formula_sum 'Y1 Zr1 Co2'
_symmetry_space_group_name_H-M 'P 1'
_symmetry_Int_Tables_number 1
_symmetry_space_group_name_Hall 'P 1'
_cell_length_a 3.733
_cell_length_b 5.578
_cell_length_c 5.578
_cell_angle_alpha 38.94
_cell_angle_beta 90.00
_cell_angle_gamma 90.00
loop_
_atom_site_label
_atom_site_type_symbol
_atom_site_fract_x
_atom_site_fract_y
_atom_site_fract_z
Y1 Y 0.000 0.000 0.000
Zr1 Zr 0.500 0.715 0.715
Co1 Co 0.000 0.274 0.274
Co2 Co 0.500 0.409 0.409
```

Summary:
symmetry: Amm2
calculated formation energy: -197 meV per atom

***

[8]
A plane-wave DFT calculation with PBE was carried out for a relaxed Er3Si5Ir6 crystal.

CIF file:
```
data_Er3Si5Ir6
_chemical_formula_sum 'Er6 Si10 Ir12'
_symmetry_space_group_name_H-M 'P 1'
_symmetry_Int_Tables_number 1
_symmetry_space_group_name_Hall 'P 1'
_cell_length_a 4.010
_cell_length_b 12.350
_cell_length_c 9.557
_cell_angle_alpha 90.00
_cell_angle_beta 90.00
_cell_angle_gamma 90.00
loop_
_atom_site_label
_atom_site_type_symbol
_atom_site_fract_x
_atom_site_fract_y
_atom_site_fract_z
Er1 Er 0.250 0.089 0.248
Er2 Er 0.250 0.411 0.248
Er3 Er 0.250 0.750 0.243
Er4 Er 0.750 0.250 0.757
Er5 Er 0.750 0.589 0.752
Er6 Er 0.750 0.911 0.752
Si1 Si 0.250 0.078 0.650
Si2 Si 0.250 0.422 0.650
Si3 Si 0.250 0.632 0.980
Si4 Si 0.250 0.750 0.619
Si5 Si 0.250 0.868 0.980
Si6 Si 0.750 0.132 0.020
Si7 Si 0.750 0.250 0.381
Si8 Si 0.750 0.368 0.020
Si9 Si 0.750 0.578 0.350
Si10 Si 0.750 0.922 0.350
Ir1 Ir 0.250 0.048 0.898
Ir2 Ir 0.250 0.250 0.012
Ir3 Ir 0.250 0.250 0.519
Ir4 Ir 0.250 0.452 0.898
Ir5 Ir 0.250 0.582 0.491
Ir6 Ir 0.250 0.918 0.491
Ir7 Ir 0.750 0.082 0.509
Ir8 Ir 0.750 0.418 0.509
Ir9 Ir 0.750 0.548 0.102
Ir10 Ir 0.750 0.750 0.481
Ir11 Ir 0.750 0.750 0.988
Ir12 Ir 0.750 0.952 0.102
```

Summary:
symmetry: Pmmn
formation energy from raw total energies: -1012 meV per atom

***

[9]
A plane-wave DFT calculation with PBE was carried out for a relaxed PrH6PdRh crystal.

CIF file:
```
data_PrH6PdRh
_chemical_formula_sum 'Pr1 H6 Pd1 Rh1'
_symmetry_space_group_name_H-M 'P 1'
_symmetry_Int_Tables_number 1
_symmetry_space_group_name_Hall 'P 1'
_cell_length_a 4.828
_cell_length_b 4.828
_cell_length_c 4.243
_cell_angle_alpha 90.00
_cell_angle_beta 90.00
_cell_angle_gamma 120.00
loop_
_atom_site_label
_atom_site_type_symbol
_atom_site_fract_x
_atom_site_fract_y
_atom_site_fract_z
Pr1 Pr 0.000 0.000 0.000
H1 H 0.509 0.017 0.237
H2 H 0.509 0.017 0.763
H3 H 0.509 0.491 0.237
H4 H 0.509 0.491 0.763
H5 H 0.983 0.491 0.237
H6 H 0.983 0.491 0.763
Pd1 Pd 0.333 0.667 0.500
Rh1 Rh 0.667 0.333 0.500
```

Summary:
symmetry: P-6m2

***

[10]
A plane-wave DFT calculation with PBE was carried out for a relaxed Sm3Sn2Pt4 crystal.

CIF file:
```
data_Sm3Sn2Pt4
_chemical_formula_sum 'Sm3 Sn2 Pt4'
_symmetry_space_group_name_H-M 'P 1'
_symmetry_Int_Tables_number 1
_symmetry_space_group_name_Hall 'P 1'
_cell_length_a 6.039
_cell_length_b 6.039
_cell_length_c 8.973
_cell_angle_alpha 113.89
_cell_angle_beta 113.89
_cell_angle_gamma 43.64
loop_
_atom_site_label
_atom_site_type_symbol
_atom_site_fract_x
_atom_site_fract_y
_atom_site_fract_z
Sm1 Sm 0.000 0.000 0.000
Sm2 Sm 0.364 0.364 0.302
Sm3 Sm 0.636 0.636 0.698
Sn1 Sn 0.337 0.337 0.672
Sn2 Sn 0.663 0.663 0.328
Pt1 Pt 0.077 0.077 0.412
Pt2 Pt 0.282 0.282 0.935
Pt3 Pt 0.718 0.718 0.065
Pt4 Pt 0.923 0.923 0.588
```

Summary:
symmetry: C2/m
calculated formation energy: -1029 meV per atom

***

no.,VASP energy (eV/atom),size of the total moment (μB per cell)
1,-7.144,0.0
2,-8.756,0.0
3,-4.018,0.0
4,-4.969,0.0
5,-8.853,0.0
6,-5.400,0.0
7,-7.503,0.0
8,-7.725,0.0
9,-4.505,0.0
10,-6.176,0.0